{
  "formula": "Ca8AlIn2",
  "functional": "PBE-GGA",
  "state": "optimized geometry",
  "lattice_angstrom": [[-3.3528, -1.9517, 3.9697], [5.5538, -4.8970, 2.2832], [1.8184, 9.2104, 2.1836]],
  "species": ["In", "Ca", "Ca", "Ca", "Ca", "Ca", "Al", "Ca", "In", "Ca", "Ca"],
  "frac_coords": [[0.1832, 0.6832, 0.3664], [0.0000, 0.7368, 0.0000], [0.8199, 0.8199, 0.6399], [0.0000, 0.2632, 0.0000], [0.6450, 0.4106, 0.2900], [0.1801, 0.1801, 0.3601], [0.5000, 0.0000, 0.0000], [0.3550, 0.5894, 0.7100], [0.8168, 0.3168, 0.6336], [0.6450, 0.8794, 0.2900], [0.3550, 0.1206, 0.7100]],
  "energy_ev_per_cell": -27.789,
  "space_group": "Immm (71)",
  "e_form_mev_per_atom": -232,
  "volume_a3_per_atom": 32.758
}